Material: RbLiZn2O3
Method: DFT, PBE
State: relaxed

Cell and atoms, written as CIF:
```
data_RbLiZn2O3
_chemical_formula_sum 'Rb4 Li4 Zn8 O12'
_symmetry_space_group_name_H-M 'P 1'
_symmetry_Int_Tables_number 1
_symmetry_space_group_name_Hall 'P 1'
_cell_length_a 10.3484
_cell_length_b 10.3484
_cell_length_c 3.4254
_cell_angle_alpha 90.00
_cell_angle_beta 90.00
_cell_angle_gamma 90.00
loop_
_atom_site_label
_atom_site_type_symbol
_atom_site_fract_x
_atom_site_fract_y
_atom_site_fract_z
_atom_site_occupancy
Rb1 Rb 0.1087 0.1087 0.0000 1
Rb2 Rb 0.3913 0.6087 0.5000 1
Rb3 Rb 0.6087 0.3913 0.5000 1
Rb4 Rb 0.8913 0.8913 0.0000 1
Li1 Li 0.2001 0.7999 0.0000 1
Li2 Li 0.2999 0.2999 0.5000 1
Li3 Li 0.7001 0.7001 0.5000 1
Li4 Li 0.7999 0.2001 0.0000 1
Zn1 Zn 0.0732 0.6727 0.5000 1
Zn2 Zn 0.1727 0.4268 0.0000 1
Zn3 Zn 0.3273 0.9268 0.5000 1
Zn4 Zn 0.4268 0.1727 0.0000 1
Zn5 Zn 0.5732 0.8273 0.0000 1
Zn6 Zn 0.6727 0.0732 0.5000 1
Zn7 Zn 0.8273 0.5732 0.0000 1
Zn8 Zn 0.9268 0.3273 0.5000 1
O1 O 0.1149 0.3434 0.5000 1
O2 O 0.1380 0.8620 0.5000 1
O3 O 0.1566 0.6149 0.0000 1
O4 O 0.3434 0.1149 0.5000 1
O5 O 0.3620 0.3620 0.0000 1
O6 O 0.3851 0.8434 0.0000 1
O7 O 0.6149 0.1566 0.0000 1
O8 O 0.6380 0.6380 0.0000 1
O9 O 0.6566 0.8851 0.5000 1
O10 O 0.8434 0.3851 0.0000 1
O11 O 0.8620 0.1380 0.5000 1
O12 O 0.8851 0.6566 0.5000 1
```

Values from the calculation:
For the uncorrected energy, the calculation gives -4.386 eV per atom. As for the space group: No. 136.